Compound: LiZnHgF6
Source: Alexandria via LeMat-Bulk
Functional: PBE
Structure: optimized geometry

Unit cell a=4.884 b=4.884 c=9.914 alpha=90.00 beta=90.00 gamma=90.00
Fractional coordinates of all 18 atoms:
Li 0.000 0.000 0.000
Li 0.500 0.500 0.500
Zn 0.000 0.000 0.337
Zn 0.500 0.500 0.837
Hg 0.000 0.000 0.669
Hg 0.500 0.500 0.169
F 0.180 0.180 0.172
F 0.200 0.200 0.488
F 0.206 0.206 0.844
F 0.294 0.706 0.344
F 0.300 0.700 0.988
F 0.320 0.680 0.672
F 0.680 0.320 0.672
F 0.700 0.300 0.988
F 0.706 0.294 0.344
F 0.794 0.794 0.844
F 0.800 0.800 0.488
F 0.820 0.820 0.172

- ΔE_f (raw): -1.911 eV per atom
- Magnetic moment: 0.95 μB per formula unit

---

Compound: LiZn2HgF8
Source: Alexandria via LeMat-Bulk
Functional: PBE
Structure: optimized geometry

Unit cell a=4.963 b=6.373 c=4.984 alpha=90.00 beta=92.19 gamma=90.00
Fractional coordinates of all 12 atoms:
Li 0.000 0.000 0.000
Zn 0.500 0.237 0.500
Zn 0.500 0.763 0.500
Hg 0.000 0.500 0.000
F 0.206 0.236 0.199
F 0.206 0.764 0.199
F 0.308 0.000 0.687
F 0.323 0.500 0.671
F 0.677 0.500 0.329
F 0.692 0.000 0.313
F 0.794 0.236 0.801
F 0.794 0.764 0.801

- ΔE_f (raw): -2.007 eV per atom
- Magnetic moment: 1.04 μB per formula unit

---

Compound: Lu2HgF
Source: Alexandria via LeMat-Bulk
Functional: PBE
Structure: optimized geometry

Unit cell a=7.106 b=7.106 c=7.106 alpha=38.69 beta=38.69 gamma=38.69
Fractional coordinates of all 4 atoms:
Lu 0.107 0.107 0.107
Lu 0.893 0.893 0.893
Hg 0.500 0.500 0.500
F 0.000 0.000 0.000

- ΔE_f (raw): -1.337 eV per atom
- Magnetic moment: 0.00 μB per formula unit

---

Compound: Mg2HgF
Source: Alexandria via LeMat-Bulk
Functional: PBE
Structure: optimized geometry

Unit cell a=5.814 b=5.814 c=5.814 alpha=111.48 beta=111.48 gamma=105.52
Fractional coordinates of all 8 atoms:
Mg 0.040 0.625 0.915
Mg 0.375 0.290 0.415
Mg 0.710 0.125 0.085
Mg 0.875 0.960 0.585
Hg 0.250 0.750 0.500
Hg 0.500 0.500 0.000
F 0.000 0.000 0.000
F 0.750 0.250 0.500

- Excess energy over the best structure of this formula in the dataset: 0 meV/atom
- ΔE_f (raw): -1.153 eV per atom
- Magnetic moment: 0.00 μB per formula unit

---

Compound: MgHg3F
Source: Alexandria via LeMat-Bulk
Functional: PBE
Structure: optimized geometry

Unit cell a=5.100 b=5.100 c=5.100 alpha=90.00 beta=90.00 gamma=90.00
Fractional coordinates of all 5 atoms:
Mg 0.000 0.000 0.000
Hg 0.000 0.500 0.500
Hg 0.500 0.000 0.500
Hg 0.500 0.500 0.000
F 0.500 0.500 0.500

- Excess energy over the best structure of this formula in the dataset: 35 meV/atom
- ΔE_f (raw): -0.200 eV per atom
- Magnetic moment: 0.00 μB per formula unit

---

Compound: MgHg2F8
Source: Alexandria via LeMat-Bulk
Functional: PBE
Structure: optimized geometry

Unit cell a=6.658 b=6.658 c=4.363 alpha=90.00 beta=90.00 gamma=120.00
Fractional coordinates of all 11 atoms:
Mg 0.000 0.000 0.000
Hg 0.333 0.667 0.231
Hg 0.667 0.333 0.769
F 0.145 0.852 0.251
F 0.148 0.293 0.251
F 0.293 0.145 0.749
F 0.333 0.667 0.734
F 0.667 0.333 0.266
F 0.707 0.855 0.251
F 0.852 0.707 0.749
F 0.855 0.148 0.749

- ΔE_f (raw): -1.623 eV per atom
- Magnetic moment: 0.49 μB per formula unit

---

Compound: Mg2HgF6
Source: Alexandria via LeMat-Bulk
Functional: PBE
Structure: optimized geometry

Unit cell a=5.322 b=5.322 c=4.890 alpha=90.00 beta=90.00 gamma=120.00
Fractional coordinates of all 9 atoms:
Mg 0.333 0.667 0.000
Mg 0.667 0.333 0.000
Hg 0.000 0.000 0.500
F 0.000 0.361 0.218
F 0.000 0.639 0.782
F 0.361 0.000 0.218
F 0.361 0.361 0.782
F 0.639 0.000 0.782
F 0.639 0.639 0.218

- ΔE_f (raw): -2.820 eV per atom
- Magnetic moment: 0.00 μB per formula unit

---

Compound: MgHg2F
Source: Alexandria via LeMat-Bulk
Functional: PBE
Structure: optimized geometry

Unit cell a=4.884 b=4.884 c=4.884 alpha=60.00 beta=60.00 gamma=60.00
Fractional coordinates of all 4 atoms:
Mg 0.000 0.000 0.000
Hg 0.250 0.250 0.250
Hg 0.750 0.750 0.750
F 0.500 0.500 0.500

- Excess energy over the best structure of this formula in the dataset: 84 meV/atom
- ΔE_f (raw): -0.625 eV per atom
- Magnetic moment: 0.00 μB per formula unit

---

Compound: MgHg2F5
Source: Alexandria via LeMat-Bulk
Functional: PBE
Structure: optimized geometry

Unit cell a=6.731 b=6.731 c=10.163 alpha=90.00 beta=90.00 gamma=144.95
Fractional coordinates of all 16 atoms:
Mg 0.178 0.822 0.750
Mg 0.822 0.178 0.250
Hg 0.118 0.882 0.112
Hg 0.118 0.882 0.388
Hg 0.882 0.118 0.612
Hg 0.882 0.118 0.888
F 0.070 0.930 0.608
F 0.070 0.930 0.892
F 0.291 0.709 0.607
F 0.291 0.709 0.893
F 0.308 0.692 0.250
F 0.692 0.308 0.750
F 0.709 0.291 0.107
F 0.709 0.291 0.393
F 0.930 0.070 0.108
F 0.930 0.070 0.392

- ΔE_f (raw): -2.055 eV per atom
- Magnetic moment: 0.00 μB per formula unit

---

Compound: MgHg3F
Source: Alexandria via LeMat-Bulk
Functional: PBE
Structure: optimized geometry

Unit cell a=5.477 b=5.477 c=5.477 alpha=90.00 beta=90.00 gamma=90.00
Fractional coordinates of all 5 atoms:
Mg 0.000 0.000 0.000
Hg 0.000 0.000 0.500
Hg 0.000 0.500 0.000
Hg 0.500 0.000 0.000
F 0.500 0.500 0.500

- Excess energy over the best structure of this formula in the dataset: 0 meV/atom
- ΔE_f (raw): -0.235 eV per atom
- Magnetic moment: 0.00 μB per formula unit

---

Compound: Mg2HgF2
Source: Alexandria via LeMat-Bulk
Functional: PBE
Structure: optimized geometry

Unit cell a=5.900 b=5.900 c=5.900 alpha=137.68 beta=137.68 gamma=61.40
Fractional coordinates of all 5 atoms:
Mg 0.250 0.750 0.500
Mg 0.750 0.250 0.500
Hg 0.000 0.000 0.000
F 0.296 0.296 0.000
F 0.704 0.704 0.000

- Excess energy over the best structure of this formula in the dataset: 0 meV/atom
- ΔE_f (raw): -1.610 eV per atom
- Magnetic moment: 0.00 μB per formula unit

---

Compound: MgHg3F7
Source: Alexandria via LeMat-Bulk
Functional: PBE
Structure: optimized geometry

Unit cell a=6.819 b=6.819 c=7.662 alpha=90.00 beta=90.00 gamma=72.10
Fractional coordinates of all 22 atoms:
Mg 0.000 0.000 0.000
Mg 0.000 0.000 0.500
Hg 0.008 0.451 0.250
Hg 0.451 0.008 0.750
Hg 0.500 0.500 0.000
Hg 0.500 0.500 0.500
Hg 0.549 0.992 0.250
Hg 0.992 0.549 0.750
F 0.047 0.953 0.750
F 0.052 0.687 0.022
F 0.052 0.687 0.478
F 0.313 0.948 0.022
F 0.313 0.948 0.478
F 0.350 0.370 0.750
F 0.370 0.350 0.250
F 0.630 0.650 0.750
F 0.650 0.630 0.250
F 0.687 0.052 0.522
F 0.687 0.052 0.978
F 0.948 0.313 0.522
F 0.948 0.313 0.978
F 0.953 0.047 0.250

- ΔE_f (raw): -1.908 eV per atom
- Magnetic moment: 0.00 μB per formula unit